{
  "formula": "Rb2CeSmS4",
  "functional": "PBE",
  "state": "optimized geometry",
  "e_form_raw_ev_per_fu": -14.39,
  "magmom_total_mub_per_atom": 0.126,
  "lattice": [[4.214, 0.000, 0.000], [0.000, 7.293, 0.124], [0.000, -2.560, 7.644]],
  "species": ["Sm", "Rb", "Rb", "Ce", "S", "S", "S", "S"],
  "fractional_positions": [[0.000, 0.000, 0.000], [0.000, 0.500, 0.500], [0.500, 0.000, 0.500], [0.500, 0.500, 0.000], [0.000, 0.735, 0.196], [0.500, 0.771, 0.805], [0.000, 0.265, 0.804], [0.500, 0.229, 0.195]]
}